{"formula": "SbRuSe2N", "functional": "PBE-GGA", "state": "relaxed", "polymorph_energy_kj_per_mol_fu": 0, "m_tot_mub_per_fu": 0.00, "e_form_raw_mev_per_atom": 279, "dos_at_fermi_per_ev_atom": 1.064, "lattice": [[5.134, 0.000, 0.000], [0.000, 5.134, 0.000], [0.000, 0.000, 3.690]], "species": ["Sb", "N", "Se", "Se", "Ru"], "frac_coords": [[0.500, 0.500, 0.500], [0.000, 0.000, 0.500], [0.000, 0.500, 0.000], [0.500, 0.000, 0.000], [0.000, 0.000, 0.000]]}